## ReAg2GeF (PBE-GGA)

Data for a geometry-optimized ReAg2GeF structure.

The structure in extended XYZ format:
```
5
Lattice="5.218 0.000 0.000 0.000 5.218 0.000 0.000 0.000 3.852" Properties=species:S:1:pos:R:3 pbc="T T T"
Re 0.000 0.000 0.000
Ag 0.000 2.609 0.000
Ag 2.609 0.000 0.000
Ge 2.609 2.609 1.926
F 0.000 0.000 1.926
```

- uncorrected formation energy (eV per atom) = 0.71
- SG = P4/mmm, No. 123
- crystal system = tetragonal

=====

## GaTcO4 (PBE-GGA)

Data for a geometry-optimized GaTcO4 structure.

The structure in extended XYZ format:
```
12
Lattice="5.537 0.000 0.000 0.000 4.605 0.000 -2.172 0.000 5.109" Properties=species:S:1:pos:R:3 pbc="T T T"
Ga 0.000 0.000 0.000
Ga -1.086 2.303 2.554
Tc 1.683 0.000 2.554
Tc 2.769 2.303 0.000
O 0.109 0.878 1.800
O -0.977 1.424 4.354
O 0.521 3.240 3.358
O 1.607 3.668 0.804
O 1.758 0.937 4.305
O 2.844 1.366 1.751
O 4.342 3.181 0.755
O 3.256 3.727 3.309
```

- uncorrected formation energy (eV per atom) = -1.49
- SG = P2_1/c, No. 14
- crystal system = monoclinic

=====

## MgPaRh (PBE-GGA)

Data for a geometry-optimized MgPaRh structure.

The structure in extended XYZ format:
```
6
Lattice="3.760 0.000 0.000 0.000 3.760 0.000 0.000 0.000 8.511" Properties=species:S:1:pos:R:3 pbc="T T T"
Mg 0.940 2.820 0.000
Mg 2.820 0.940 0.000
Pa 0.940 0.940 3.137
Pa 2.820 2.820 5.374
Rh 0.940 0.940 6.398
Rh 2.820 2.820 2.114
```

- distance to the lowest polymorph of the same formula (eV per atom) = 0.000
- E_form (eV/atom) = -0.479
- SG = P4/nmm, No. 129
- crystal system = tetragonal

=====

## BaTbTe4 (PBE-GGA)

Data for a geometry-optimized BaTbTe4 structure.

The structure in extended XYZ format:
```
12
Lattice="7.009 0.000 0.000 0.000 7.009 0.000 0.000 0.000 8.432" Properties=species:S:1:pos:R:3 pbc="T T T"
Ba 1.752 1.752 0.000
Ba 5.256 5.256 0.000
Tb 1.752 1.752 4.216
Tb 5.256 5.256 4.216
Te 0.690 4.194 2.408
Te 0.690 6.318 6.024
Te 2.814 4.194 6.024
Te 2.814 6.318 2.408
Te 4.194 0.690 6.024
Te 4.194 2.814 2.408
Te 6.318 0.690 2.408
Te 6.318 2.814 6.024
```

- uncorrected formation energy (eV per atom) = -1.11
- SG = P4/nbm, No. 125
- crystal system = tetragonal

=====

## NaSmEuPb (PBE-GGA)

Data for a geometry-optimized NaSmEuPb structure.

The structure in extended XYZ format:
```
4
Lattice="0.000 3.958 3.958 3.958 0.000 3.958 3.958 3.958 0.000" Properties=species:S:1:pos:R:3 pbc="T T T"
Na 0.000 0.000 0.000
Sm 1.979 1.979 1.979
Eu 5.936 5.936 5.936
Pb 3.958 3.958 3.958
```

- E_form (eV/atom) = -0.238
- SG = F-43m, No. 216
- crystal system = cubic

=====

| no. | M_tot (μB/cell) |
| --- | --- |
| 1 | 1.62 |
| 2 | 3.41 |
| 3 | 0.00 |
| 4 | 0.00 |
| 5 | 7.72 |